DFT (PBE) results for crystalline Co2Pt2Pb at its relaxed geometry.

Structure (POSCAR):
```
Co2Pt2Pb
1.0
3.584 0.000 0.000
0.000 3.584 0.000
1.792 1.792 6.635
Pb Co Pt
1 2 2
Cartesian
0.000 0.000 0.000
3.584 1.792 3.317
1.792 3.584 3.317
1.792 1.792 1.480
3.584 3.584 5.155
```

energy of formation = 0.18 eV/atom
polymorph energy (0 for the lowest one) = 0 meV per atom
density of states at the Fermi level = 5.8 states/eV/f.u.


DFT (PBE) results for crystalline TbErFePd at its relaxed geometry.

Structure (POSCAR):
```
TbErFePd
1.0
-3.237 -3.419 1.114
-0.528 -1.426 4.593
-4.005 1.168 2.450
Tb Fe Pd Er
1 1 1 1
Cartesian
-5.828 -2.758 6.118
-3.885 -1.839 4.079
0.000 0.000 0.000
-1.943 -0.919 2.039
```

energy of formation = -0.32 eV/atom
density of states at the Fermi level = 3.8 states/eV/f.u.


DFT (PBE) results for crystalline La5PrSm at its relaxed geometry.

Structure (POSCAR):
```
La5PrSm
1.0
-1.648 5.458 -4.158
-6.374 2.993 0.460
-0.761 12.617 5.957
La Pr Sm
10 2 2
Cartesian
-3.028 5.200 0.968
-3.084 9.022 1.861
-2.276 12.099 2.839
-5.784 6.554 1.187
-6.255 18.262 3.549
-2.528 2.805 -1.290
-2.999 14.514 1.072
-6.507 8.969 -0.580
-5.699 12.046 0.398
-5.755 15.868 1.291
0.000 0.000 0.000
-0.380 6.308 2.978
-3.161 7.922 -1.376
-5.622 13.145 3.635
```

energy of formation = 0.12 eV/atom
density of states at the Fermi level = 10.3 states/eV/f.u.


DFT (PBE) results for crystalline Nd3Sm2ThTe6 at its relaxed geometry.

Structure (POSCAR):
```
Nd3Sm2ThTe6
1.0
-3.133 -1.524 -2.795
6.088 -5.297 -3.935
-1.952 -4.931 8.447
Nd Sm Th Te
3 2 1 6
Cartesian
1.478 -3.411 -3.365
-2.916 -5.461 2.679
3.919 -6.292 -0.961
0.155 -8.123 0.688
0.848 -3.630 1.029
-1.566 -0.762 -1.397
3.223 -8.620 1.089
0.782 -5.759 -1.304
-2.220 -3.132 0.628
1.523 -1.347 -0.972
-0.519 -10.406 2.690
0.221 -5.993 3.022
```

energy relative to the elements, uncorrected = -1.3346 eV per atom
density of states at the Fermi level = 8.1 states/eV/f.u.


DFT (PBE) results for crystalline BaMnIn2 at its relaxed geometry.

Structure (POSCAR):
```
BaMnIn2
1.0
7.903 0.315 -0.155
5.621 5.564 0.155
-6.479 -3.590 2.777
Ba In Mn
1 2 1
Cartesian
3.704 2.784 1.466
0.193 0.084 0.000
2.923 -0.677 1.311
6.987 3.037 0.000
```

energy of formation = 0.09 eV/atom
density of states at the Fermi level = 3.2 states/eV/f.u.


DFT (PBE) results for crystalline Pm4Pd2N at its relaxed geometry.

Structure (POSCAR):
```
Pm4Pd2N
1.0
3.743 0.000 0.000
0.000 8.203 -0.155
-1.872 -4.397 5.429
Pm Pd N
4 2 1
Cartesian
1.872 -2.066 4.464
0.000 5.871 0.810
1.872 0.632 1.610
0.000 3.173 3.664
1.872 3.580 1.286
0.000 0.225 3.988
0.000 0.000 0.000
```

polymorph energy (0 for the lowest one) = 0 meV per atom
energy relative to the elements, uncorrected = -0.8323 eV per atom
density of states at the Fermi level = 6.9 states/eV/f.u.


DFT (PBE) results for crystalline ZnAgAs2 at its relaxed geometry.

Structure (POSCAR):
```
ZnAgAs2
1.0
-3.489 0.589 1.673
0.449 -3.578 2.195
1.985 2.294 3.334
Ag As Zn
1 2 1
Cartesian
1.217 -0.642 2.764
0.000 0.000 0.000
-1.520 -1.495 1.934
-0.752 1.441 2.503
```

energy of formation = 0.26 eV/atom
density of states at the Fermi level = 1.5 states/eV/f.u.


DFT (PBE) results for crystalline BaSrIn2 at its relaxed geometry.

Structure (POSCAR):
```
BaSrIn2
1.0
4.032 0.000 0.000
0.000 4.032 0.000
0.000 0.000 9.660
Ba In Sr
1 2 1
Cartesian
2.016 2.016 7.802
0.000 0.000 0.483
2.016 2.016 2.022
0.000 0.000 4.182
```

energy of formation = -0.23 eV/atom
density of states at the Fermi level = 4.3 states/eV/f.u.


Question: Number 4 is which compound?
Answer: Nd3Sm2ThTe6